# Bi2PdF8 PBE optimized geometry
data_Bi2PdF8
_space_group_name_H-M_alt 'C 1 2/m 1'
_space_group_IT_number 12
_cell_length_a 13.738
_cell_length_b 3.662
_cell_length_c 6.333
_cell_angle_alpha 90.00
_cell_angle_beta 99.31
_cell_angle_gamma 90.00
loop_
_space_group_symop_operation_xyz
'x,y,z'
'-x,-y,-z'
'-x,y,-z'
'x,-y,z'
'x+1/2,y+1/2,z'
'-x+1/2,-y+1/2,-z'
'-x+1/2,y+1/2,-z'
'x+1/2,-y+1/2,z'
loop_
_atom_site_label
_atom_site_fract_x
_atom_site_fract_y
_atom_site_fract_z
Bi1 0.178 0.000 0.204
Pd1 0.000 0.500 0.500
F1 0.019 0.000 0.304
F2 0.100 0.500 0.048
F3 0.164 0.500 0.486
F4 0.207 0.000 0.851
# **E_form (uncorrected)**: -22.3 eV/f.u.
# **Raw total energy**: -4.56 eV per atom
# **Total magnetization**: 2.0 μB per formula unit